(1)
A plane-wave DFT calculation with PBE was carried out for a relaxed AcErZr crystal.

Output
total moment: 0.00 μB/f.u.
DOS at the Fermi energy: 0.959 states/eV/atom
ΔE to the lowest computed polymorph: 14.2 kJ/mol of atoms
uncorrected energy: -16.566 eV for the cell shown

```
AcErZr
1.0
-2.7911 -0.0224 -2.2368
0.2245 -2.4417 2.6042
-4.2380 5.1952 5.2363
Er Ac Zr
1 1 1
direct
0.3333 0.6667 0.6430
0.0000 0.0000 0.0149
0.6667 0.3333 0.3421
```

=====

(2)
A plane-wave DFT calculation with PBE was carried out for a relaxed PIrAu2 crystal.

Output
total moment: 0.46 μB/f.u.
DOS at the Fermi energy: 1.027 states/eV/atom
uncorrected energy: -18.951 eV for the cell shown

```
PIrAu2
1.0
-0.8756 7.8815 3.5704
-3.3549 7.7914 1.9159
-3.3302 6.5632 4.6332
P Au Ir
1 2 1
direct
0.7500 0.7500 0.7500
0.0048 0.0048 0.0048
0.4952 0.4952 0.4952
0.2500 0.2500 0.2500
```

=====

(3)
A plane-wave DFT calculation with PBE was carried out for a relaxed TlBP2O crystal.

Output
total moment: 1.60 μB/f.u.
DOS at the Fermi energy: 1.000 states/eV/atom
ΔE to the lowest computed polymorph: 163.4 kJ/mol of atoms
E_form (uncorrected): 1.9206 eV per atom
uncorrected energy: -15.219 eV for the cell shown

```
TlBP2O
1.0
-1.4692 -2.1739 -4.4975
4.9369 0.0828 -1.6528
0.6073 -3.7720 1.6249
P B O Tl
2 1 1 1
direct
0.5000 0.0000 0.0000
0.0000 0.5000 0.0000
0.5000 0.5000 0.5000
0.0000 0.0000 0.5000
0.0000 0.0000 0.0000
```

=====

(4)
A plane-wave DFT calculation with PBE was carried out for a relaxed Gd2TiO5 crystal.

Output
total moment: 14.00 μB/f.u.
DOS at the Fermi energy: 0.000 states/eV/atom
ΔE to the lowest computed polymorph: 4.6 kJ/mol of atoms
E_form (uncorrected): -3.3425 eV per atom
uncorrected energy: -350.351 eV for the cell shown

```
Gd2TiO5
1.0
3.6545 0.0000 0.0000
0.0000 7.6327 0.0000
0.0000 0.0000 15.7679
O Gd Ti
20 8 4
direct
0.7500 0.8888 0.6709
0.7500 0.8580 0.4866
0.2500 0.7287 0.8186
0.7500 0.3869 0.5460
0.7500 0.3580 0.0134
0.2500 0.1131 0.0460
0.7500 0.7713 0.3186
0.7500 0.4180 0.3526
0.2500 0.5820 0.6474
0.7500 0.3888 0.8291
0.7500 0.2713 0.1814
0.7500 0.8869 0.9540
0.7500 0.9180 0.1474
0.2500 0.6131 0.4540
0.2500 0.0820 0.8526
0.2500 0.6112 0.1709
0.2500 0.2287 0.6814
0.2500 0.6420 0.9866
0.2500 0.1420 0.5134
0.2500 0.1112 0.3291
0.7500 0.1462 0.4260
0.2500 0.8538 0.5740
0.2500 0.8782 0.2391
0.2500 0.3782 0.2609
0.7500 0.6462 0.0740
0.7500 0.1218 0.7609
0.2500 0.3538 0.9260
0.7500 0.6218 0.7391
0.7500 0.1452 0.0836
0.2500 0.3548 0.5836
0.2500 0.8548 0.9164
0.7500 0.6452 0.4164
```

=====

(5)
A plane-wave DFT calculation with PBE was carried out for a relaxed Na3TaMn3S8 crystal.

Output
total moment: 13.02 μB/f.u.
DOS at the Fermi energy: 0.418 states/eV/atom
E_form (uncorrected): -0.8479 eV per atom
uncorrected energy: -89.057 eV for the cell shown

```
Na3TaMn3S8
1.0
7.2128 0.0000 0.0000
-3.6064 6.2435 -0.0216
0.0000 -4.1385 6.7217
Na Mn Ta S
3 3 1 8
direct
0.0000 0.0000 0.0000
0.5000 0.5000 0.0000
0.0000 0.5000 0.0000
0.5000 0.5000 0.5000
0.5000 0.0000 0.5000
0.0000 0.5000 0.5000
0.0000 0.0000 0.5000
0.2611 0.0283 0.2955
0.7329 0.4658 0.6986
0.2671 0.5342 0.3014
0.7389 0.9717 0.7045
0.7671 0.5343 0.2956
0.2329 0.4657 0.7044
0.7672 0.0283 0.2955
0.2328 0.9717 0.7045
```

=====

(6)
A plane-wave DFT calculation with PBE was carried out for a relaxed V3FeTc2 crystal.

Output
total moment: 0.84 μB/f.u.
DOS at the Fermi energy: 0.745 states/eV/atom
uncorrected energy: -58.193 eV for the cell shown

```
V3FeTc2
1.0
-2.5234 0.3204 1.5899
1.3056 -1.3432 2.3429
2.8365 7.8501 2.9199
V Fe Tc
3 1 2
direct
0.0000 0.0000 0.3402
0.0000 0.0000 0.0000
0.0000 0.0000 0.6598
0.5000 0.5000 0.5000
0.5000 0.5000 0.8280
0.5000 0.5000 0.1720
```